A plane-wave DFT calculation with GGA+U was carried out for crystalline CsHoVF6 at its relaxed geometry.

Output
The calculation puts the total energy at -6.04 eV/atom. The total magnetization comes out at 3.00 μB/f.u. The space group is No. 74.

```
CsHoVF6
1.0
-3.928 4.084 5.600
3.928 -4.084 5.600
3.928 4.084 -5.600
Cs Ho V F
2 2 2 12
direct
0.332 0.082 0.250
0.668 0.918 0.750
0.000 0.500 0.500
0.500 0.500 0.000
0.000 0.000 0.500
0.000 0.500 0.000
0.058 0.417 0.233
0.058 0.824 0.640
0.064 0.814 0.250
0.316 0.176 0.733
0.316 0.583 0.140
0.324 0.574 0.750
0.676 0.426 0.250
0.684 0.417 0.860
0.684 0.824 0.267
0.936 0.186 0.750
0.942 0.176 0.360
0.942 0.583 0.767
```